Record 1
! PBE-GGA ZrScGa4Ir2, optimized geometry; values from VASP
! E, eV/cell: -50.258
&SYSTEM
  ibrav = 0, nat = 8, ntyp = 4
/
ATOMIC_SPECIES
Zr 91.22 Zr.upf
Sc 44.96 Sc.upf
Ga 69.72 Ga.upf
Ir 192.22 Ir.upf
ATOMIC_POSITIONS angstrom
Zr 0.000 0.000 0.000
Sc 0.003 3.311 1.608
Ga 0.007 1.985 4.412
Ga 0.007 4.637 4.412
Ga 2.104 1.327 2.071
Ga 2.104 5.295 2.071
Ir 0.003 0.000 2.817
Ir 2.108 3.311 3.673
CELL_PARAMETERS angstrom
4.201 0.000 0.000
0.000 6.622 0.000
-2.093 0.000 4.900

***

Record 2
! PBE-GGA MgFeSiGe, optimized geometry; values from VASP
! E, eV/cell: -74.321
! Energy above the lowest structure with this stoichiometry, meV per atom: 169.7
&SYSTEM
  ibrav = 0, nat = 16, ntyp = 4
/
ATOMIC_SPECIES
Mg 24.30 Mg.upf
Fe 55.84 Fe.upf
Si 28.09 Si.upf
Ge 72.64 Ge.upf
ATOMIC_POSITIONS angstrom
Mg 0.000 0.000 0.000
Mg 0.000 3.124 3.124
Mg 3.124 0.000 3.124
Mg 3.124 3.124 0.000
Fe 1.562 1.562 1.562
Fe 1.562 4.686 4.686
Fe 4.686 1.562 4.686
Fe 4.686 4.686 1.562
Si 0.000 0.000 3.124
Si 0.000 3.124 0.000
Si 3.124 0.000 0.000
Si 3.124 3.124 3.124
Ge 1.562 1.562 4.686
Ge 1.562 4.686 1.562
Ge 4.686 1.562 1.562
Ge 4.686 4.686 4.686
CELL_PARAMETERS angstrom
6.248 0.000 0.000
0.000 6.248 0.000
0.000 0.000 6.248